[1]
Below is a geometry-optimized ZrHgPd4 structure, with properties calculated at the PBE level.

Cell: 5.293 5.293 5.293 Å, 60.00 60.00 60.00°
Positions (direct):
Zr: 0.000 0.000 0.000
Hg: 0.750 0.750 0.750
Pd: 0.375 0.375 0.375
Pd: 0.375 0.375 0.875
Pd: 0.375 0.875 0.375
Pd: 0.875 0.375 0.375

Crystal system: cubic
Symmetry: F-43m, No. 216
Offset from the most stable computed form, eV/atom: 0.039

***

[2]
Below is a geometry-optimized Zr4Hg3Pd structure, with properties calculated at the PBE level.

Cell: 3.212 3.212 16.240 Å, 90.00 90.00 90.00°
Positions (direct):
Zr: 0.000 0.000 0.112
Zr: 0.000 0.000 0.371
Zr: 0.000 0.000 0.629
Zr: 0.000 0.000 0.888
Hg: 0.500 0.500 0.242
Hg: 0.500 0.500 0.500
Hg: 0.500 0.500 0.758
Pd: 0.500 0.500 0.000

Crystal system: tetragonal
Symmetry: P4/mmm, No. 123

***

[3]
Below is a geometry-optimized ZrHgPd14 structure, with properties calculated at the PBE level.

Cell: 5.706 5.706 7.871 Å, 90.00 90.00 90.00°
Positions (direct):
Zr: 0.000 0.000 0.000
Hg: 0.500 0.500 0.000
Pd: 0.000 0.000 0.500
Pd: 0.000 0.500 0.000
Pd: 0.000 0.500 0.500
Pd: 0.247 0.247 0.252
Pd: 0.247 0.247 0.748
Pd: 0.247 0.753 0.252
Pd: 0.247 0.753 0.748
Pd: 0.500 0.000 0.000
Pd: 0.500 0.000 0.500
Pd: 0.500 0.500 0.500
Pd: 0.753 0.247 0.252
Pd: 0.753 0.247 0.748
Pd: 0.753 0.753 0.252
Pd: 0.753 0.753 0.748

Crystal system: tetragonal
Symmetry: P4/mmm, No. 123

***

[4]
Below is a geometry-optimized ZrHg3Pd6 structure, with properties calculated at the PBE level.

Cell: 4.917 7.762 10.267 Å, 67.90 76.42 81.06°
Positions (direct):
Zr: 0.208 0.059 0.113
Zr: 0.792 0.941 0.887
Hg: 0.237 0.645 0.307
Hg: 0.245 0.468 0.893
Hg: 0.270 0.234 0.502
Hg: 0.730 0.766 0.498
Hg: 0.755 0.532 0.107
Hg: 0.763 0.355 0.693
Pd: 0.239 0.950 0.399
Pd: 0.248 0.557 0.599
Pd: 0.248 0.857 0.710
Pd: 0.252 0.344 0.200
Pd: 0.271 0.147 0.814
Pd: 0.271 0.762 0.008
Pd: 0.729 0.238 0.992
Pd: 0.729 0.853 0.186
Pd: 0.748 0.656 0.800
Pd: 0.752 0.143 0.290
Pd: 0.752 0.443 0.401
Pd: 0.761 0.050 0.601

Crystal system: triclinic
Symmetry: P-1, No. 2

***

[5]
Below is a geometry-optimized Zr6HgPd structure, with properties calculated at the PBE level.

Cell: 5.548 5.548 5.548 Å, 89.98 89.98 89.98°
Positions (direct):
Zr: 0.001 0.747 0.499
Zr: 0.253 0.501 0.999
Zr: 0.499 0.001 0.747
Zr: 0.501 0.999 0.253
Zr: 0.747 0.499 0.001
Zr: 0.999 0.253 0.501
Hg: 0.000 0.000 0.000
Pd: 0.500 0.500 0.500

Crystal system: trigonal
Symmetry: R-3, No. 148

***

[6]
Below is a geometry-optimized ZrHg2Pd structure, with properties calculated at the PBE level.

Cell: 4.195 4.195 4.607 Å, 90.00 90.00 90.00°
Positions (direct):
Zr: 0.000 0.000 0.000
Hg: 0.000 0.500 0.500
Hg: 0.500 0.000 0.500
Pd: 0.500 0.500 0.000

Crystal system: tetragonal
Symmetry: P4/mmm, No. 123

***

[7]
Below is a geometry-optimized ZrHgPd3 structure, with properties calculated at the PBE level.

Cell: 7.382 7.478 6.736 Å, 90.00 90.00 90.00°
Positions (direct):
Zr: 0.000 0.000 0.000
Zr: 0.000 0.500 0.000
Zr: 0.500 0.000 0.500
Zr: 0.500 0.500 0.500
Hg: 0.152 0.250 0.356
Hg: 0.348 0.750 0.856
Hg: 0.652 0.250 0.144
Hg: 0.848 0.750 0.644
Pd: 0.116 0.750 0.277
Pd: 0.147 0.521 0.631
Pd: 0.147 0.979 0.631
Pd: 0.353 0.021 0.131
Pd: 0.353 0.479 0.131
Pd: 0.384 0.250 0.777
Pd: 0.616 0.750 0.223
Pd: 0.647 0.521 0.869
Pd: 0.647 0.979 0.869
Pd: 0.853 0.021 0.369
Pd: 0.853 0.479 0.369
Pd: 0.884 0.250 0.723

Crystal system: orthorhombic
Symmetry: Pnma, No. 62
Offset from the most stable computed form, eV/atom: 0.071

***

[8]
Below is a geometry-optimized Zr2HgPd4 structure, with properties calculated at the PBE level.

Cell: 9.832 9.832 9.832 Å, 157.07 157.07 32.65°
Positions (direct):
Zr: 0.139 0.139 0.000
Zr: 0.861 0.861 0.000
Hg: 0.500 0.500 0.000
Pd: 0.250 0.750 0.500
Pd: 0.360 0.360 0.000
Pd: 0.640 0.640 0.000
Pd: 0.750 0.250 0.500

Crystal system: tetragonal
Symmetry: I4/mmm, No. 139

***

| no. | calculated formation energy (eV/atom) |
| --- | --- |
| 1 | -0.4045 |
| 2 | -0.2573 |
| 3 | -0.2287 |
| 4 | -0.3556 |
| 5 | -0.2264 |
| 6 | -0.1306 |
| 7 | -0.2909 |
| 8 | -0.4424 |